An optimized crystal structure of Rb2PaMo3O12, computed with PBE+U. Values from VASP.

Structure (Quantum ESPRESSO input):
```
&SYSTEM
  ibrav = 0, nat = 18, ntyp = 4
/
ATOMIC_SPECIES
Rb 85.47 Rb.upf
Pa 231.04 Pa.upf
Mo 95.94 Mo.upf
O 16.00 O.upf
CELL_PARAMETERS angstrom
3.7259 2.1511 6.3465
-3.7259 2.1511 6.3465
0.0000 -4.3023 6.3465
ATOMIC_POSITIONS crystal
Rb 0.1177 0.1177 0.1177
Rb 0.8823 0.8823 0.8823
Pa 0.5000 0.5000 0.5000
Mo 0.0000 0.5000 0.5000
Mo 0.5000 0.0000 0.5000
Mo 0.5000 0.5000 0.0000
O 0.1592 0.5709 0.5709
O 0.1963 0.1963 0.5675
O 0.1963 0.5675 0.1963
O 0.4291 0.4291 0.8408
O 0.4291 0.8408 0.4291
O 0.4325 0.8037 0.8037
O 0.5675 0.1963 0.1963
O 0.5709 0.1592 0.5709
O 0.5709 0.5709 0.1592
O 0.8037 0.4325 0.8037
O 0.8037 0.8037 0.4325
O 0.8408 0.4291 0.4291
```

Computed properties:
D(E_F), states/eV/cell: 3.80
Space-group type: R-3m (166)
Electronic total energy, eV for the cell shown: -129.2